MnZnW3 after structural relaxation. Source: Alexandria, functional GGA-PBE.

## Properties
The calculation puts the energy of formation from the pure elements at 1.388 eV per atom. As for the energy above the most stable polymorph in this dataset: 0 meV per atom.

Lattice parameters (Å, degrees): 4.478 4.478 4.478 90.00 90.00 90.00
Fractional positions:
1 W 0.000 0.500 0.000
2 W 0.500 0.000 0.000
3 W 0.000 0.000 0.500
4 Zn 0.500 0.500 0.500
5 Mn 0.000 0.000 0.000

TaTcSe after structural relaxation. Source: Alexandria, functional GGA-PBE.

## Properties
The formation energy (no corrections) comes out at -1.87 kcal/mol of atoms. As for the energy above the most stable polymorph in this dataset: 0 meV per atom.

Lattice parameters (Å, degrees): 4.289 4.289 3.049 90.00 90.00 120.00
Fractional positions:
1 Ta 0.667 0.333 0.333
2 Tc 0.333 0.667 0.833
3 Se 0.000 0.000 0.834

CrTcRuCl2 after structural relaxation. Source: Alexandria, functional GGA-PBE.

## Properties
The formation energy (no corrections) comes out at 35.85 kcal/mol of atoms.

Lattice parameters (Å, degrees): 4.574 4.655 4.574 90.00 90.00 90.00
Site moments in Bohr magnetons follow the coordinates.
Fractional positions:
1 Ru 0.500 0.500 0.500  0.03
2 Cl 0.500 0.000 0.000  -0.04
3 Tc 0.000 0.000 0.000  -0.29
4 Cr 0.000 0.500 0.000  0.05
5 Cl 0.000 0.000 0.500  -0.02

E_tot
In order: -8.473; -8.649; -5.037
Unit: eV/atom
V
In order: 17.96; 16.19; 19.48
Unit: A^3/atom